(1)
A relaxed ZnAg6Au5 crystal. Source: Alexandria via LeMat-Bulk, functional PBE-GGA.

Calculated values
The space group is No. 2. Its size of the total moment is 0.0 μB/f.u. For the energy above the most stable polymorph in this dataset, the calculation gives 0.000 eV per atom. The calculation puts the energy of formation at -54 meV/atom.

Cell and atoms, written as extended XYZ:
```
12
Lattice="4.055 0.000 0.000 2.000 7.479 0.000 1.993 2.708 6.994" Properties=species:S:1:pos:R:3 pbc="T T T"
Zn 0.000 0.000 0.000
Ag 2.005 2.206 4.081
Ag 2.009 4.591 0.586
Ag 4.020 3.902 5.243
Ag 4.029 6.285 1.751
Ag 6.040 5.596 6.407
Ag 6.044 7.981 2.913
Au 1.997 5.093 3.497
Au 4.017 6.819 4.679
Au 2.016 1.611 1.103
Au 6.032 8.575 5.890
Au 4.032 3.368 2.315
```

(2)
A relaxed Zn2Ag3Au3 crystal. Source: Alexandria via LeMat-Bulk, functional PBE-GGA.

Calculated values
The space group is No. 155. Its size of the total moment is 0.0 μB/f.u. For the energy above the most stable polymorph in this dataset, the calculation gives 0.029 eV per atom. The calculation puts the energy of formation at -38 meV/atom.

Cell and atoms, written as extended XYZ:
```
8
Lattice="3.858 2.228 2.851 -3.858 2.228 2.851 0.000 -4.455 2.851" Properties=species:S:1:pos:R:3 pbc="T T T"
Zn 0.000 0.000 1.844
Zn 0.000 0.000 6.708
Ag -1.263 -2.267 2.851
Ag -1.332 2.228 2.851
Ag 2.595 0.040 2.851
Au -2.499 0.000 4.276
Au 1.249 -2.164 4.276
Au 1.249 2.164 4.276
```

(3)
A relaxed Zn2Ag4Au crystal. Source: Alexandria via LeMat-Bulk, functional PBE-GGA.

Calculated values
The space group is No. 14. Its size of the total moment is 0.0 μB/f.u. For the energy above the most stable polymorph in this dataset, the calculation gives 0.000 eV per atom. The calculation puts the energy of formation at 13 meV/atom.

Cell and atoms, written as extended XYZ:
```
14
Lattice="5.067 0.000 0.000 0.000 9.407 0.000 -0.460 0.000 5.194" Properties=species:S:1:pos:R:3 pbc="T T T"
Zn 0.680 0.780 0.730
Zn 0.450 3.924 3.327
Zn 4.157 5.483 1.866
Zn 3.927 8.627 4.463
Ag -0.072 1.387 3.274
Ag 0.158 3.316 0.677
Ag 1.809 6.370 2.779
Ag 2.039 7.740 0.183
Ag 2.569 1.667 5.011
Ag 2.799 3.037 2.414
Ag 4.449 6.090 4.516
Ag 4.679 8.020 1.920
Au 2.304 0.000 2.597
Au 2.533 4.703 0.000
```

(4)
A relaxed Zn9Ag4Au11 crystal. Source: Alexandria via LeMat-Bulk, functional PBE-GGA.

Calculated values
The space group is No. 65. Its size of the total moment is 0.0 μB/f.u. The calculation puts the energy of formation at -153 meV/atom.

Cell and atoms, written as extended XYZ:
```
24
Lattice="7.400 -9.126 0.000 7.400 9.126 0.000 0.000 0.000 2.977" Properties=species:S:1:pos:R:3 pbc="T T T"
Zn 0.000 0.000 0.000
Zn 5.601 5.058 0.000
Zn 5.901 1.792 0.000
Zn 9.199 5.058 0.000
Zn 5.901 -1.792 0.000
Zn 8.899 1.792 0.000
Zn 5.601 -5.058 0.000
Zn 8.899 -1.792 0.000
Zn 9.199 -5.058 0.000
Ag 2.340 1.417 0.000
Ag 2.340 -1.417 0.000
Ag 12.460 1.417 0.000
Ag 12.460 -1.417 0.000
Au 4.125 3.202 1.489
Au 7.400 6.708 1.489
Au 4.434 0.000 1.489
Au 7.400 3.595 1.489
Au 4.125 -3.202 1.489
Au 7.400 0.000 1.489
Au 10.676 3.202 1.489
Au 7.400 -3.595 1.489
Au 10.366 0.000 1.489
Au 7.400 -6.708 1.489
Au 10.676 -3.202 1.489
```

(5)
A relaxed Zn7Ag4Au crystal. Source: Alexandria via LeMat-Bulk, functional PBE-GGA.

Calculated values
The space group is No. 12. Its size of the total moment is 0.0 μB/f.u. The calculation puts the energy of formation at 68 meV/atom.

Cell and atoms, written as extended XYZ:
```
12
Lattice="4.817 -2.405 0.000 4.817 2.405 0.000 -4.310 0.000 9.013" Properties=species:S:1:pos:R:3 pbc="T T T"
Zn 0.000 0.000 0.000
Zn -1.948 0.000 8.324
Zn -0.568 0.000 6.168
Zn 1.376 0.000 4.535
Zn 3.948 0.000 4.478
Zn 5.892 0.000 2.845
Zn 7.272 0.000 0.689
Ag -0.700 0.000 2.865
Ag 2.537 0.000 2.117
Ag 2.786 0.000 6.896
Ag 6.024 0.000 6.148
Au 4.817 0.000 0.000
```

(6)
A relaxed ZnAgAu4 crystal. Source: Alexandria via LeMat-Bulk, functional PBE-GGA.

Calculated values
The space group is No. 216. Its size of the total moment is 0.0 μB/f.u. For the energy above the most stable polymorph in this dataset, the calculation gives 0.160 eV per atom. The calculation puts the energy of formation at 77 meV/atom.

Cell and atoms, written as extended XYZ:
```
6
Lattice="0.000 3.885 3.885 3.885 0.000 3.885 3.885 3.885 0.000" Properties=species:S:1:pos:R:3 pbc="T T T"
Zn 0.000 0.000 0.000
Ag 5.828 5.828 5.828
Au 2.913 2.913 2.913
Au 4.857 4.857 2.913
Au 4.857 2.913 4.857
Au 2.913 4.857 4.857
```